1.
A plane-wave DFT calculation with SCAN was carried out for BH2Pd2 at its PBEsol-relaxed geometry.

Cell lengths 3.4149, 5.5220, 5.5220 Å; angles 90.00, 90.00, 90.00 degrees
Last column: nearest neighbours and their distance in Å.
Fractional positions:
H  0.5000  0.3377  0.8377  2 Pd 1.71
H  0.5000  0.8377  0.6623  2 Pd 1.71
H  0.5000  0.6623  0.1623  2 Pd 1.71
H  0.5000  0.1623  0.3377  2 Pd 1.71
B  0.0000  0.0000  0.0000  4 Pd 2.05
B  0.0000  0.5000  0.5000  4 Pd 2.05
Pd  0.0000  0.3298  0.8298  2 H 1.71
Pd  0.0000  0.8298  0.6702  2 H 1.71
Pd  0.0000  0.6702  0.1702  2 H 1.71
Pd  0.0000  0.1702  0.3298  2 H 1.71

* symmetry: No. 127

=====

2.
A plane-wave DFT calculation with SCAN was carried out for BH2Pt2 at its PBEsol-relaxed geometry.

Cell lengths 3.4808, 5.5376, 5.5376 Å; angles 90.00, 90.00, 90.00 degrees
Last column: nearest neighbours and their distance in Å.
Fractional positions:
H  0.5000  0.1612  0.6612  2 Pt 1.74
H  0.5000  0.6612  0.8388  2 Pt 1.74
H  0.5000  0.8388  0.3388  2 Pt 1.74
H  0.5000  0.3388  0.1612  2 Pt 1.74
B  0.0000  0.0000  0.0000  4 Pt 2.06
B  0.0000  0.5000  0.5000  4 Pt 2.06
Pt  0.0000  0.1682  0.6682  2 H 1.74
Pt  0.0000  0.6682  0.8318  2 H 1.74
Pt  0.0000  0.8318  0.3318  2 H 1.74
Pt  0.0000  0.3318  0.1682  2 H 1.74

* symmetry: No. 127

=====

3.
A plane-wave DFT calculation with SCAN was carried out for SnB2HPt at its PBEsol-relaxed geometry.

Cell lengths 4.3626, 4.3626, 5.0942 Å; angles 90.00, 90.00, 90.00 degrees
Last column: nearest neighbours and their distance in Å.
Fractional positions:
H  0.5000  0.5000  0.5000  4 Pt 3.08, 8 B 3.35
B  0.0000  0.5000  0.0000  2 Sn 2.18
B  0.5000  0.0000  0.0000  2 Sn 2.18
Sn  0.0000  0.0000  0.0000  4 B 2.18
Pt  0.0000  0.0000  0.5000  2 Sn 2.55

* symmetry: No. 123

=====

4.
A plane-wave DFT calculation with SCAN was carried out for RbB6H6 at its PBEsol-relaxed geometry.

Cell lengths 7.5275, 7.5275, 7.5275 Å; angles 60.00, 60.00, 60.00 degrees
Last column: nearest neighbours and their distance in Å.
Fractional positions:
H  0.6263  0.9093  0.3737  1 B 1.21
H  0.9093  0.6263  0.0907  1 B 1.21
H  0.6263  0.3737  0.0907  1 B 1.21
H  0.6263  0.0907  0.9093  1 B 1.21
H  0.3737  0.6263  0.9093  1 B 1.21
H  0.0907  0.9093  0.6263  1 B 1.21
H  0.0907  0.6263  0.3737  1 B 1.21
H  0.3737  0.9093  0.0907  1 B 1.21
H  0.9093  0.0907  0.3737  1 B 1.21
H  0.0907  0.3737  0.9093  1 B 1.21
H  0.3737  0.0907  0.6263  1 B 1.21
H  0.9093  0.3737  0.6263  1 B 1.21
B  0.9483  0.7822  0.0517  1 H 1.21
B  0.7822  0.9483  0.2178  1 H 1.21
B  0.7822  0.2178  0.0517  1 H 1.21
B  0.7822  0.0517  0.9483  1 H 1.21
B  0.2178  0.7822  0.9483  1 H 1.21
B  0.0517  0.9483  0.7822  1 H 1.21
B  0.0517  0.7822  0.2178  1 H 1.21
B  0.2178  0.9483  0.0517  1 H 1.21
B  0.9483  0.0517  0.2178  1 H 1.21
B  0.0517  0.2178  0.9483  1 H 1.21
B  0.2178  0.0517  0.7822  1 H 1.21
B  0.9483  0.2178  0.7822  1 H 1.21
Rb  0.7500  0.7500  0.7500  12 H 2.91
Rb  0.2500  0.2500  0.2500  12 H 2.91

* symmetry: No. 202

=====

5.
A plane-wave DFT calculation with SCAN was carried out for RbB5H5 at its PBEsol-relaxed geometry.

Cell lengths 7.1501, 11.0667, 12.5752 Å; angles 90.00, 87.65, 90.00 degrees
Last column: nearest neighbours and their distance in Å.
Fractional positions:
Rb  0.2573  0.8614  0.9125  8 H 2.67-2.97
Rb  0.7209  0.5170  0.8167  6 H 2.78-2.98
Rb  0.7791  0.0170  0.6833  6 H 2.78-2.98
Rb  0.2427  0.3614  0.5875  8 H 2.67-2.97
Rb  0.7573  0.6386  0.4125  8 H 2.67-2.97
Rb  0.2209  0.9830  0.3167  6 H 2.78-2.98
Rb  0.2791  0.4830  0.1833  6 H 2.78-2.98
Rb  0.7427  0.1386  0.0875  8 H 2.67-2.97
B  0.3210  0.2524  0.0251  1 H 1.21
B  0.0954  0.2997  0.9813  1 H 1.21
B  0.1719  0.1445  0.9660  1 H 1.21
B  0.3001  0.3826  0.9360  1 H 1.21
B  0.4086  0.1613  0.9132  1 H 1.22
B  0.0134  0.2069  0.8852  1 H 1.20
B  0.4985  0.2992  0.9420  1 H 1.20
B  0.1435  0.3260  0.8401  1 H 1.21
B  0.2204  0.1697  0.8226  1 H 1.21
B  0.3891  0.2905  0.8253  1 H 1.21
B  0.1109  0.7905  0.6747  1 H 1.21
B  0.2796  0.6697  0.6774  1 H 1.21
B  0.3565  0.8260  0.6599  1 H 1.21
B  0.0015  0.7992  0.5580  1 H 1.20
B  0.0914  0.6613  0.5868  1 H 1.22
B  0.1999  0.8826  0.5640  1 H 1.21
B  0.4866  0.7069  0.6148  1 H 1.20
B  0.3281  0.6445  0.5340  1 H 1.21
B  0.4046  0.7997  0.5187  1 H 1.21
B  0.1790  0.7524  0.4749  1 H 1.21
B  0.8210  0.2476  0.5251  1 H 1.21
B  0.5954  0.2003  0.4813  1 H 1.21
B  0.6719  0.3555  0.4660  1 H 1.21
B  0.5134  0.2931  0.3852  1 H 1.20
B  0.8001  0.1174  0.4360  1 H 1.21
B  0.9086  0.3387  0.4132  1 H 1.22
B  0.9985  0.2008  0.4420  1 H 1.20
B  0.6435  0.1740  0.3401  1 H 1.21
B  0.7204  0.3303  0.3226  1 H 1.21
B  0.8891  0.2095  0.3253  1 H 1.21
B  0.6109  0.7095  0.1747  1 H 1.21
B  0.7796  0.8303  0.1774  1 H 1.21
B  0.8565  0.6740  0.1599  1 H 1.21
B  0.5015  0.7008  0.0580  1 H 1.20
B  0.9866  0.7931  0.1148  1 H 1.20
B  0.5914  0.8387  0.0868  1 H 1.22
B  0.6999  0.6174  0.0640  1 H 1.21
B  0.8281  0.8555  0.0340  1 H 1.21
B  0.9046  0.7003  0.0187  1 H 1.21
B  0.6790  0.7476  0.9749  1 H 1.21
H  0.8689  0.9437  0.9811  1 B 1.21
H  0.0130  0.6524  0.9551  1 B 1.21
H  0.6566  0.7570  0.8800  1 B 1.21
H  0.3057  0.4904  0.9511  1 B 1.21
H  0.8556  0.1776  0.8669  1 B 1.20
H  0.5115  0.0737  0.9091  1 B 1.22
H  0.6552  0.3294  0.9603  1 B 1.20
H  0.0212  0.8161  0.7555  1 B 1.21
H  0.2230  0.1019  0.7468  1 B 1.21
H  0.0768  0.3986  0.7804  1 B 1.21
H  0.2770  0.6019  0.7532  1 B 1.21
H  0.4232  0.8986  0.7196  1 B 1.21
H  0.4788  0.3161  0.7445  1 B 1.21
H  0.9885  0.5737  0.5909  1 B 1.22
H  0.1943  0.9904  0.5489  1 B 1.21
H  0.8448  0.8294  0.5397  1 B 1.20
H  0.6444  0.6776  0.6331  1 B 1.20
H  0.8434  0.2570  0.6200  1 B 1.21
H  0.4870  0.1524  0.5449  1 B 1.21
H  0.6311  0.4437  0.5189  1 B 1.21
H  0.3689  0.5563  0.4811  1 B 1.21
H  0.5130  0.8476  0.4551  1 B 1.21
H  0.1566  0.7430  0.3800  1 B 1.21
H  0.3556  0.3224  0.3669  1 B 1.20
H  0.1552  0.1706  0.4603  1 B 1.20
H  0.8057  0.0096  0.4511  1 B 1.21
H  0.0115  0.4263  0.4091  1 B 1.22
H  0.5212  0.6839  0.2555  1 B 1.21
H  0.5768  0.1014  0.2804  1 B 1.21
H  0.7230  0.3981  0.2468  1 B 1.21
H  0.9232  0.6014  0.2196  1 B 1.21
H  0.7770  0.8981  0.2532  1 B 1.21
H  0.9788  0.1839  0.2445  1 B 1.21
H  0.3448  0.6706  0.0397  1 B 1.20
H  0.4885  0.9263  0.0909  1 B 1.22
H  0.1444  0.8224  0.1331  1 B 1.20
H  0.6943  0.5096  0.0489  1 B 1.21
H  0.3434  0.2430  0.1200  1 B 1.21
H  0.9870  0.3476  0.0449  1 B 1.21
H  0.1311  0.0563  0.0189  1 B 1.21

* symmetry: No. 14

=====

6.
A plane-wave DFT calculation with SCAN was carried out for BHRh2 at its PBEsol-relaxed geometry.

Cell lengths 3.7221, 3.7221, 3.7221 Å; angles 60.00, 60.00, 60.00 degrees
Last column: nearest neighbours and their distance in Å.
Fractional positions:
H  0.0000  0.0000  0.0000  8 Rh 2.28
B  0.5000  0.5000  0.5000  8 Rh 2.28
Rh  0.2500  0.2500  0.2500  4 H 2.28, 4 B 2.28
Rh  0.7500  0.7500  0.7500  4 B 2.28, 4 H 2.28

* symmetry: No. 225

=====

7.
A plane-wave DFT calculation with SCAN was carried out for BH2Rh at its PBEsol-relaxed geometry.

Cell lengths 2.9857, 2.9857, 7.3131 Å; angles 101.78, 101.78, 90.00 degrees
Last column: nearest neighbours and their distance in Å.
Fractional positions:
H  0.6250  0.8750  0.7500  2 H 1.49
H  0.1250  0.8750  0.7500  2 H 1.49
H  0.1250  0.8750  0.2500  2 H 1.49
H  0.1250  0.3750  0.2500  2 H 1.49
B  0.5000  0.5000  0.0000  4 Rh 2.11
B  0.7500  0.2500  0.5000  4 Rh 2.11
Rh  0.0000  0.0000  0.0000  4 H 1.90, 4 B 2.11
Rh  0.2500  0.7500  0.5000  4 H 1.90, 4 B 2.11

* symmetry: No. 141

=====

8.
A plane-wave DFT calculation with SCAN was carried out for BH2RhS at its PBEsol-relaxed geometry.

Cell lengths 3.2115, 3.2115, 4.5363 Å; angles 90.00, 90.00, 90.00 degrees
Last column: nearest neighbours and their distance in Å.
Fractional positions:
H  0.0000  0.5000  0.0000  2 B 1.61
H  0.5000  0.0000  0.0000  2 B 1.61
S  0.0000  0.0000  0.5000  2 B 2.27, 4 Rh 2.27
B  0.0000  0.0000  0.0000  4 H 1.61
Rh  0.5000  0.5000  0.5000  4 S 2.27

* symmetry: No. 123

=====

The following energy values (in eV/atom) correspond, in order, to the records above: -15.82; -31.08; -22.55; -7.05; -7.19; -19.46; -11.55; -10.84.
The following M_tot values (in μB/f.u.) correspond, in order, to the records above: 0.0; 0.0; 0.0; 0.0; 0.0; 0.0; 0.0; 0.0.